! Hf2CuTc (PBE, relaxed); values from VASP
&SYSTEM
  ibrav = 0, nat = 8, ntyp = 3
/
ATOMIC_SPECIES
Tc 98.00 Tc.upf
Hf 178.49 Hf.upf
Cu 63.55 Cu.upf
ATOMIC_POSITIONS crystal
Tc 0.0000 0.0000 0.0000
Hf 0.8750 0.8800 0.7500
Hf 0.1200 0.6250 0.2500
Cu 0.2500 0.7500 0.5000
Tc 0.7500 0.2500 0.5000
Hf 0.3750 0.3700 0.7500
Cu 0.5000 0.5000 0.0000
Hf 0.6300 0.1250 0.2500
CELL_PARAMETERS angstrom
4.0978 0.0000 0.0000
0.0000 4.0978 0.0000
2.0489 2.0489 9.0721
! - Formation energy from the elements: 0.570 eV/atom
! - N(E_F): 5.35 states/eV per cell
! - Symmetry: I-42d (122)
! - V: 152.3 Å³/cell

---

! HfCuTcTe2 (PBE, relaxed); values from VASP
&SYSTEM
  ibrav = 0, nat = 5, ntyp = 4
/
ATOMIC_SPECIES
Cu 63.55 Cu.upf
Te 127.60 Te.upf
Tc 98.00 Tc.upf
Hf 178.49 Hf.upf
ATOMIC_POSITIONS crystal
Cu 0.5000 0.5000 0.5000
Te 0.0000 0.5000 0.0000
Te 0.5000 0.0000 0.0000
Tc 0.0000 0.0000 0.5000
Hf 0.0000 0.0000 0.0000
CELL_PARAMETERS angstrom
5.5362 0.0000 0.0000
0.0000 5.5362 0.0000
0.0000 0.0000 4.9048
! - N(E_F): 3.33 states/eV per cell
! - Symmetry: P4/mmm (123)
! - Energy: -5.086 eV per atom
! - V: 150.3 Å³/cell

---

! TmHfCuTc (PBE, relaxed); values from VASP
&SYSTEM
  ibrav = 0, nat = 4, ntyp = 4
/
ATOMIC_SPECIES
Cu 63.55 Cu.upf
Tc 98.00 Tc.upf
Tm 168.93 Tm.upf
Hf 178.49 Hf.upf
ATOMIC_POSITIONS crystal
Cu 0.7500 0.7500 0.7500
Tc 0.2500 0.2500 0.2500
Tm 0.0000 0.0000 0.0000
Hf 0.5000 0.5000 0.5000
CELL_PARAMETERS angstrom
-0.5851 -3.5180 -3.0525
-2.2891 -3.8846 1.3062
-4.2625 -0.9106 -1.7431
! - Formation energy from the elements: -0.232 eV/atom
! - N(E_F): 2.97 states/eV per cell
! - Symmetry: F-43m (216)
! - V: 73.1 Å³/cell

---

! HfVCuTc (PBE, relaxed); values from VASP
&SYSTEM
  ibrav = 0, nat = 4, ntyp = 4
/
ATOMIC_SPECIES
Hf 178.49 Hf.upf
Cu 63.55 Cu.upf
V 50.94 V.upf
Tc 98.00 Tc.upf
ATOMIC_POSITIONS crystal
Hf 0.0000 0.0000 0.0000
Cu 0.2500 0.2500 0.2500
V 0.5000 0.5000 0.5000
Tc 0.7500 0.7500 0.7500
CELL_PARAMETERS angstrom
4.4389 0.0000 0.0000
2.2195 3.8442 0.0000
2.2195 1.2814 3.6244
! - Formation energy from the elements: -0.112 eV/atom
! - N(E_F): 3.11 states/eV per cell
! - Symmetry: F-43m (216)
! - V: 61.8 Å³/cell

---

! HfZrCuTc2 (PBE, relaxed); values from VASP
&SYSTEM
  ibrav = 0, nat = 5, ntyp = 4
/
ATOMIC_SPECIES
Hf 178.49 Hf.upf
Tc 98.00 Tc.upf
Zr 91.22 Zr.upf
Cu 63.55 Cu.upf
ATOMIC_POSITIONS crystal
Hf 0.0000 0.0000 0.0000
Tc 0.5000 0.0000 0.0000
Zr 0.5000 0.5000 0.5000
Cu 0.0000 0.5000 0.0000
Tc 0.0000 0.0000 0.5000
CELL_PARAMETERS angstrom
4.7217 0.0000 0.0000
0.0000 4.6084 0.0000
0.0000 0.0000 4.7217
! - Formation energy from the elements: 1.160 eV/atom
! - N(E_F): 7.11 states/eV per cell
! - Symmetry: P4/mmm (123)
! - V: 102.7 Å³/cell

---

! HfCu2Te (PBE, relaxed); values from VASP
&SYSTEM
  ibrav = 0, nat = 8, ntyp = 3
/
ATOMIC_SPECIES
Cu 63.55 Cu.upf
Te 127.60 Te.upf
Hf 178.49 Hf.upf
ATOMIC_POSITIONS crystal
Cu 0.8750 0.8641 0.7500
Te 0.2500 0.7500 0.5000
Te 0.5000 0.5000 0.0000
Cu 0.1359 0.6250 0.2500
Cu 0.6141 0.1250 0.2500
Hf 0.0000 0.0000 0.0000
Hf 0.7500 0.2500 0.5000
Cu 0.3750 0.3859 0.7500
CELL_PARAMETERS angstrom
7.4046 0.0000 0.0000
0.0000 7.4046 0.0000
3.7023 3.7023 2.7703
! - N(E_F): 1.40 states/eV per cell
! - Symmetry: I-42d (122)
! - Energy: -5.241 eV per atom
! - V: 151.9 Å³/cell

---

! HfCuTe3 (PBE, relaxed); values from VASP
&SYSTEM
  ibrav = 0, nat = 5, ntyp = 3
/
ATOMIC_SPECIES
Te 127.60 Te.upf
Hf 178.49 Hf.upf
Cu 63.55 Cu.upf
ATOMIC_POSITIONS crystal
Te 0.0000 0.5000 0.0000
Te 0.0000 0.0000 0.5000
Hf 0.0000 0.0000 0.0000
Te 0.5000 0.0000 0.0000
Cu 0.5000 0.5000 0.5000
CELL_PARAMETERS angstrom
5.5231 0.0000 0.0000
0.0000 5.5231 0.0000
0.0000 0.0000 5.5231
! - N(E_F): 2.48 states/eV per cell
! - Energy above the most stable polymorph in this dataset: 658 meV/atom
! - Symmetry: Pm-3m (221)
! - V: 168.5 Å³/cell

---

! HfCu3Te (PBE, relaxed); values from VASP
&SYSTEM
  ibrav = 0, nat = 5, ntyp = 3
/
ATOMIC_SPECIES
Cu 63.55 Cu.upf
Te 127.60 Te.upf
Hf 178.49 Hf.upf
ATOMIC_POSITIONS crystal
Cu 0.0000 0.5000 0.0000
Te 0.0000 0.0000 0.0000
Hf 0.5000 0.5000 0.5000
Cu 0.0000 0.0000 0.5000
Cu 0.5000 0.0000 0.0000
CELL_PARAMETERS angstrom
4.7494 0.0000 0.0000
0.0000 4.7494 0.0000
0.0000 0.0000 4.7494
! - N(E_F): 3.21 states/eV per cell
! - Energy above the most stable polymorph in this dataset: 0 meV/atom
! - Symmetry: Pm-3m (221)
! - V: 107.1 Å³/cell

---

! Hf2Cu2Te7 (PBE, relaxed); values from VASP
&SYSTEM
  ibrav = 0, nat = 11, ntyp = 3
/
ATOMIC_SPECIES
Hf 178.49 Hf.upf
Te 127.60 Te.upf
Cu 63.55 Cu.upf
ATOMIC_POSITIONS crystal
Hf 0.0000 0.3067 0.6933
Te 0.7714 0.3644 0.3644
Te 0.2586 0.4465 0.0645
Te 0.2286 0.6356 0.6356
Te 0.2586 0.0645 0.4465
Hf 0.0000 0.6933 0.3067
Te 0.5000 0.0000 0.0000
Te 0.7414 0.5535 0.9355
Te 0.7414 0.9355 0.5535
Cu 0.6157 0.6685 0.6685
Cu 0.3843 0.3315 0.3315
CELL_PARAMETERS angstrom
7.1648 -0.0853 -0.0976
-0.7117 7.2550 -1.4385
-0.7117 -2.3908 6.9992
! - N(E_F): 7.14 states/eV per cell
! - Symmetry: C2/m (12)
! - Energy: -4.850 eV per atom
! - V: 338.0 Å³/cell

---

! HfCuTe3 (PBE, relaxed); values from VASP
&SYSTEM
  ibrav = 0, nat = 10, ntyp = 3
/
ATOMIC_SPECIES
Te 127.60 Te.upf
Cu 63.55 Cu.upf
Hf 178.49 Hf.upf
ATOMIC_POSITIONS crystal
Te 0.7500 0.3034 0.9685
Cu 0.7500 0.1291 0.6726
Cu 0.2500 0.8709 0.3274
Te 0.7500 0.6167 0.3838
Te 0.2500 0.6966 0.0315
Te 0.7500 0.1161 0.3372
Hf 0.7500 0.6267 0.7647
Te 0.2500 0.3833 0.6162
Te 0.2500 0.8839 0.6628
Hf 0.2500 0.3733 0.2353
CELL_PARAMETERS angstrom
3.9523 0.0000 0.0000
0.0000 8.0140 0.5986
0.0000 -1.1950 7.9759
! - N(E_F): 7.61 states/eV per cell
! - Energy above the most stable polymorph in this dataset: 0 meV/atom
! - Symmetry: P2_1/m (11)
! - V: 255.5 Å³/cell

---

! HfCu2Te3 (PBE, relaxed); values from VASP
&SYSTEM
  ibrav = 0, nat = 12, ntyp = 3
/
ATOMIC_SPECIES
Hf 178.49 Hf.upf
Cu 63.55 Cu.upf
Te 127.60 Te.upf
ATOMIC_POSITIONS crystal
Hf 0.6460 0.0536 0.2918
Cu 0.0497 0.1481 0.0974
Te 0.7505 0.7855 0.5013
Te 0.2495 0.2145 0.4987
Te 0.4156 0.6368 0.8318
Cu 0.7146 0.4249 0.4279
Cu 0.2854 0.5751 0.5721
Te 0.9184 0.1805 0.8375
Te 0.0816 0.8195 0.1625
Te 0.5844 0.3632 0.1682
Cu 0.9503 0.8519 0.9026
Hf 0.3540 0.9464 0.7082
CELL_PARAMETERS angstrom
-1.2277 -1.9562 3.3771
6.8336 -2.4396 1.0754
1.2430 9.7154 3.6047
! - N(E_F): 0.00 states/eV per cell
! - Symmetry: C2/m (12)
! - Energy: -5.068 eV per atom
! - V: 303.6 Å³/cell

---

! Hf2CuTe (PBE, relaxed); values from VASP
&SYSTEM
  ibrav = 0, nat = 8, ntyp = 3
/
ATOMIC_SPECIES
Te 127.60 Te.upf
Hf 178.49 Hf.upf
Cu 63.55 Cu.upf
ATOMIC_POSITIONS crystal
Te 0.0000 0.0000 0.0000
Hf 0.1835 0.6250 0.2500
Cu 0.5000 0.5000 0.0000
Cu 0.2500 0.7500 0.5000
Hf 0.8750 0.8165 0.7500
Hf 0.5665 0.1250 0.2500
Te 0.7500 0.2500 0.5000
Hf 0.3750 0.4335 0.7500
CELL_PARAMETERS angstrom
-4.2069 -3.2558 -3.1407
4.3256 -4.1505 -1.4915
-1.2151 -6.7975 2.5987
! - N(E_F): 5.54 states/eV per cell
! - Symmetry: I-42d (122)
! - Energy: -6.304 eV per atom
! - V: 226.9 Å³/cell

---

! Hf2CuTe2 (PBE, relaxed); values from VASP
&SYSTEM
  ibrav = 0, nat = 10, ntyp = 3
/
ATOMIC_SPECIES
Te 127.60 Te.upf
Hf 178.49 Hf.upf
Cu 63.55 Cu.upf
ATOMIC_POSITIONS crystal
Te 0.3482 0.1518 0.5000
Hf 0.8536 0.6464 0.0000
Hf 0.6464 0.1464 0.0000
Te 0.6518 0.8482 0.5000
Cu 0.0000 0.0000 0.0000
Cu 0.5000 0.5000 0.0000
Hf 0.3536 0.8536 0.0000
Te 0.8482 0.3482 0.5000
Te 0.1518 0.6518 0.5000
Hf 0.1464 0.3536 0.0000
CELL_PARAMETERS angstrom
-1.4617 -2.3470 7.0954
7.4161 0.4382 1.6727
-0.4641 3.6323 1.1059
! - N(E_F): 8.45 states/eV per cell
! - Symmetry: P4/mbm (127)
! - Energy: -6.328 eV per atom
! - V: 221.8 Å³/cell

---

! HfCuTe4 (PBE, relaxed); values from VASP
&SYSTEM
  ibrav = 0, nat = 12, ntyp = 3
/
ATOMIC_SPECIES
Te 127.60 Te.upf
Cu 63.55 Cu.upf
Hf 178.49 Hf.upf
ATOMIC_POSITIONS crystal
Te 0.9694 0.6795 0.4388
Cu 0.7407 0.0941 0.7500
Te 0.4173 0.2676 0.2500
Hf 0.0520 0.6277 0.7500
Te 0.9694 0.6795 0.0612
Te 0.0306 0.3205 0.5612
Te 0.5827 0.7324 0.7500
Te 0.0306 0.3205 0.9388
Te 0.7552 0.9611 0.2500
Cu 0.2593 0.9059 0.2500
Hf 0.9480 0.3723 0.2500
Te 0.2448 0.0389 0.7500
CELL_PARAMETERS angstrom
-2.0014 0.1156 5.1553
-4.8934 -3.8211 -4.1626
4.6687 -8.1525 1.9953
! - N(E_F): 6.25 states/eV per cell
! - Symmetry: P2_1/m (11)
! - Energy: -4.672 eV per atom
! - V: 379.7 Å³/cell

---

! HfCuTe3 (PBE, relaxed); values from VASP
&SYSTEM
  ibrav = 0, nat = 5, ntyp = 3
/
ATOMIC_SPECIES
Te 127.60 Te.upf
Cu 63.55 Cu.upf
Hf 178.49 Hf.upf
ATOMIC_POSITIONS crystal
Te 0.5000 0.0000 0.0000
Cu 0.0000 0.0000 0.0000
Te 0.0000 0.5000 0.0000
Te 0.0000 0.0000 0.5000
Hf 0.5000 0.5000 0.5000
CELL_PARAMETERS angstrom
-3.5274 -2.2860 -2.8020
3.4698 -1.0368 -3.5221
1.0188 -4.3839 2.2941
! - N(E_F): 2.68 states/eV per cell
! - Energy above the most stable polymorph in this dataset: 825 meV/atom
! - Symmetry: Pm-3m (221)
! - V: 128.9 Å³/cell

---

! HfTlCu2Te4 (PBE, relaxed); values from VASP
&SYSTEM
  ibrav = 0, nat = 8, ntyp = 4
/
ATOMIC_SPECIES
Hf 178.49 Hf.upf
Cu 63.55 Cu.upf
Te 127.60 Te.upf
Tl 204.38 Tl.upf
ATOMIC_POSITIONS crystal
Hf 0.5000 0.5000 0.5000
Cu 0.1368 0.3632 0.3632
Cu 0.8632 0.6368 0.6368
Te 0.8948 0.5372 0.1233
Te 0.5553 0.4628 0.8767
Te 0.1052 0.8767 0.4628
Te 0.4447 0.1233 0.5372
Tl 0.0000 0.0000 0.0000
CELL_PARAMETERS angstrom
6.8290 0.0000 0.0000
3.4145 6.0994 0.1394
3.4145 0.6388 6.0674
! - N(E_F): 5.88 states/eV per cell
! - Symmetry: I222 (23)
! - Energy: -4.314 eV per atom
! - V: 252.1 Å³/cell

---

! Hf2Tl2CuTe6 (PBE, relaxed); values from VASP
&SYSTEM
  ibrav = 0, nat = 11, ntyp = 4
/
ATOMIC_SPECIES
Hf 178.49 Hf.upf
Te 127.60 Te.upf
Tl 204.38 Tl.upf
Cu 63.55 Cu.upf
ATOMIC_POSITIONS crystal
Hf 0.3287 0.6713 0.5000
Te 0.7503 0.7503 0.6842
Te 0.5919 0.9246 0.2950
Te 0.2497 0.2497 0.3158
Te 0.0754 0.4081 0.7050
Tl 0.8341 0.1659 0.0000
Te 0.9246 0.5919 0.2950
Tl 0.1659 0.8341 0.0000
Te 0.4081 0.0754 0.7050
Cu 0.0000 0.0000 0.5000
Hf 0.6713 0.3287 0.5000
CELL_PARAMETERS angstrom
7.1578 -0.1042 0.0348
-3.6283 6.1709 0.0348
-1.2887 -2.2151 8.2568
! - N(E_F): 7.38 states/eV per cell
! - Symmetry: C2/m (12)
! - Energy: -4.799 eV per atom
! - V: 362.7 Å³/cell

---

! Hf2Tl3CuTe6 (PBE, relaxed); values from VASP
&SYSTEM
  ibrav = 0, nat = 12, ntyp = 4
/
ATOMIC_SPECIES
Tl 204.38 Tl.upf
Te 127.60 Te.upf
Hf 178.49 Hf.upf
Cu 63.55 Cu.upf
ATOMIC_POSITIONS crystal
Tl 0.8275 0.1725 0.5000
Te 0.6060 0.9355 0.8038
Tl 0.1725 0.8275 0.5000
Te 0.2646 0.2646 0.8013
Te 0.0645 0.3940 0.1962
Hf 0.6650 0.3350 0.0000
Te 0.7354 0.7354 0.1987
Tl 0.5000 0.5000 0.5000
Hf 0.3350 0.6650 0.0000
Te 0.3940 0.0645 0.1962
Te 0.9355 0.6060 0.8038
Cu 0.0000 0.0000 0.0000
CELL_PARAMETERS angstrom
7.2496 0.0073 0.0011
-3.6167 6.2830 0.0011
-1.2104 -2.0958 8.1636
! - N(E_F): 0.67 states/eV per cell
! - Symmetry: C2/m (12)
! - Energy: -4.632 eV per atom
! - V: 372.1 Å³/cell

---

! HfTl2Cu2Te4 (PBE, relaxed); values from VASP
&SYSTEM
  ibrav = 0, nat = 9, ntyp = 4
/
ATOMIC_SPECIES
Cu 63.55 Cu.upf
Te 127.60 Te.upf
Tl 204.38 Tl.upf
Hf 178.49 Hf.upf
ATOMIC_POSITIONS crystal
Cu 0.6897 0.9911 0.3793
Te 0.4805 0.2276 0.9610
Cu 0.3103 0.0089 0.6207
Tl 0.8637 0.4256 0.7274
Te 0.5195 0.7724 0.0390
Te 0.8029 0.8089 0.6057
Te 0.1971 0.1911 0.3943
Hf 0.0000 0.0000 0.0000
Tl 0.1363 0.5744 0.2726
CELL_PARAMETERS angstrom
-0.2518 -3.7089 -1.8748
8.3756 0.0123 -1.1490
-1.5364 -1.4491 7.6958
! - N(E_F): 1.26 states/eV per cell
! - Symmetry: C2/m (12)
! - Energy: -4.343 eV per atom
! - V: 255.6 Å³/cell

---

! HfThCu2 (PBE, relaxed); values from VASP
&SYSTEM
  ibrav = 0, nat = 4, ntyp = 3
/
ATOMIC_SPECIES
Cu 63.55 Cu.upf
Th 232.04 Th.upf
Hf 178.49 Hf.upf
ATOMIC_POSITIONS crystal
Cu 0.0000 0.5000 0.0000
Th 0.5000 0.5000 0.5000
Hf 0.5000 0.0000 0.0000
Cu 0.0000 0.0000 0.5000
CELL_PARAMETERS angstrom
3.4278 0.0000 0.0000
0.0000 4.8165 0.0000
0.0000 0.0000 4.8165
! - Formation energy from the elements: 0.005 eV/atom
! - N(E_F): 4.17 states/eV per cell
! - Energy above the most stable polymorph in this dataset: 79 meV/atom
! - Symmetry: P4/mmm (123)
! - V: 79.5 Å³/cell

---

! HfThCu3 (PBE, relaxed); values from VASP
&SYSTEM
  ibrav = 0, nat = 10, ntyp = 3
/
ATOMIC_SPECIES
Cu 63.55 Cu.upf
Th 232.04 Th.upf
Hf 178.49 Hf.upf
ATOMIC_POSITIONS crystal
Cu 0.5255 0.7500 0.0511
Th 0.9229 0.7500 0.8459
Cu 0.4745 0.2500 0.9489
Cu 0.6814 0.2500 0.3628
Cu 0.3735 0.2500 0.7470
Hf 0.2132 0.7500 0.4263
Hf 0.7868 0.2500 0.5737
Cu 0.6265 0.7500 0.2530
Th 0.0771 0.2500 0.1541
Cu 0.3186 0.7500 0.6372
CELL_PARAMETERS angstrom
3.3333 0.0000 -0.4590
0.0000 4.3061 0.0000
0.0749 0.0000 12.8784
! - Formation energy from the elements: -0.152 eV/atom
! - N(E_F): 7.37 states/eV per cell
! - Symmetry: Cmcm (63)
! - V: 185.0 Å³/cell

---

! HfTh2Cu (PBE, relaxed); values from VASP
&SYSTEM
  ibrav = 0, nat = 4, ntyp = 3
/
ATOMIC_SPECIES
Th 232.04 Th.upf
Cu 63.55 Cu.upf
Hf 178.49 Hf.upf
ATOMIC_POSITIONS crystal
Th 0.0000 0.0000 0.2253
Cu 0.5000 0.5000 0.0000
Hf 0.5000 0.5000 0.5000
Th 0.0000 0.0000 0.7747
CELL_PARAMETERS angstrom
-3.3539 0.2944 -0.6464
-0.7069 -1.6874 2.8993
-0.1748 7.5017 4.3235
! - Formation energy from the elements: 0.064 eV/atom
! - N(E_F): 3.86 states/eV per cell
! - Energy above the most stable polymorph in this dataset: 0 meV/atom
! - Symmetry: P4/mmm (123)
! - V: 101.8 Å³/cell

---

! HfThCu2 (PBE, relaxed); values from VASP
&SYSTEM
  ibrav = 0, nat = 4, ntyp = 3
/
ATOMIC_SPECIES
Cu 63.55 Cu.upf
Th 232.04 Th.upf
Hf 178.49 Hf.upf
ATOMIC_POSITIONS crystal
Cu 0.0000 0.0000 0.1967
Th 0.5000 0.5000 0.5000
Cu 0.0000 0.0000 0.8033
Hf 0.5000 0.5000 0.0000
CELL_PARAMETERS angstrom
-2.9844 0.9396 -1.2250
0.6725 -1.6088 -2.8723
-2.9077 -5.8509 2.5962
! - Formation energy from the elements: -0.074 eV/atom
! - N(E_F): 4.57 states/eV per cell
! - Energy above the most stable polymorph in this dataset: 0 meV/atom
! - Symmetry: P4/mmm (123)
! - V: 79.4 Å³/cell

---

! HfTh2Cu (PBE, relaxed); values from VASP
&SYSTEM
  ibrav = 0, nat = 4, ntyp = 3
/
ATOMIC_SPECIES
Th 232.04 Th.upf
Hf 178.49 Hf.upf
Cu 63.55 Cu.upf
ATOMIC_POSITIONS crystal
Th 0.0941 0.0941 0.7177
Hf 0.0000 0.0000 0.0000
Cu 0.5000 0.5000 0.5000
Th 0.9059 0.9059 0.2823
CELL_PARAMETERS angstrom
3.3037 0.0000 0.0000
1.6518 2.8611 0.0000
1.6518 0.9537 10.9059
! - Formation energy from the elements: 0.446 eV/atom
! - N(E_F): 4.93 states/eV per cell
! - Energy above the most stable polymorph in this dataset: 382 meV/atom
! - Symmetry: R-3m (166)
! - V: 103.1 Å³/cell

---

! HfThCu2 (PBE, relaxed); values from VASP
&SYSTEM
  ibrav = 0, nat = 4, ntyp = 3
/
ATOMIC_SPECIES
Th 232.04 Th.upf
Cu 63.55 Cu.upf
Hf 178.49 Hf.upf
ATOMIC_POSITIONS crystal
Th 0.0000 0.0000 0.0000
Cu 0.7819 0.7819 0.6544
Hf 0.5000 0.5000 0.5000
Cu 0.2181 0.2181 0.3456
CELL_PARAMETERS angstrom
4.5932 0.0000 0.0000
2.2966 3.9778 0.0000
2.2966 1.3259 4.5242
! - Formation energy from the elements: -0.002 eV/atom
! - N(E_F): 5.50 states/eV per cell
! - Energy above the most stable polymorph in this dataset: 72 meV/atom
! - Symmetry: R-3m (166)
! - V: 82.7 Å³/cell

---

! Hf2ThCu (PBE, relaxed); values from VASP
&SYSTEM
  ibrav = 0, nat = 4, ntyp = 3
/
ATOMIC_SPECIES
Cu 63.55 Cu.upf
Th 232.04 Th.upf
Hf 178.49 Hf.upf
ATOMIC_POSITIONS crystal
Cu 0.5000 0.5000 0.0000
Th 0.5000 0.5000 0.5000
Hf 0.0000 0.0000 0.8015
Hf 0.0000 0.0000 0.1985
CELL_PARAMETERS angstrom
3.3050 0.0000 0.0000
0.0000 3.3050 0.0000
0.0000 0.0000 8.0012
! - Formation energy from the elements: 0.019 eV/atom
! - N(E_F): 4.55 states/eV per cell
! - Symmetry: P4/mmm (123)
! - V: 87.4 Å³/cell